(1)
Compound: TlSeNO2
Source: Alexandria via LeMat-Bulk
Functional: GGA-PBE
Structure: relaxed

Its uncorrected energy is -3.505 eV/atom. The density of states at the Fermi level is 0.671 states/eV/atom. As for the uncorrected formation energy: 6.569 eV/f.u. The density comes out at 7.159 Mg/m³.

POSCAR file:
```
TlSeNO2
1.0
4.1660 0.0000 0.0000
0.0000 4.1660 0.0000
0.0000 0.0000 4.4014
Tl Se N O
1 1 1 2
Cartesian
0.0000 0.0000 0.0000
2.0830 2.0830 2.2007
0.0000 0.0000 2.2007
0.0000 2.0830 0.0000
2.0830 0.0000 0.0000
```



(2)
Compound: TlSeN2O
Source: Alexandria via LeMat-Bulk
Functional: GGA-PBE
Structure: relaxed

Its uncorrected energy is -3.572 eV/atom. The density of states at the Fermi level is 0.407 states/eV/atom. As for the uncorrected formation energy: 9.598 eV/f.u. The density comes out at 7.090 Mg/m³.

POSCAR file:
```
TlSeN2O
1.0
4.3423 0.0000 0.0000
0.0000 4.3423 0.0000
0.0000 0.0000 4.0663
Tl Se N O
1 1 2 1
Cartesian
0.0000 0.0000 0.0000
2.1712 2.1712 0.0000
0.0000 2.1712 2.0331
2.1712 0.0000 2.0331
2.1712 2.1712 2.0331
```



(3)
Compound: TlSeNO2
Source: Alexandria via LeMat-Bulk
Functional: GGA-PBE
Structure: relaxed

Its uncorrected energy is -4.455 eV/atom. The density of states at the Fermi level is 0.349 states/eV/atom. As for the uncorrected formation energy: 1.819 eV/f.u. The density comes out at 8.494 Mg/m³.

POSCAR file:
```
TlSeNO2
1.0
3.8452 0.0000 0.0000
0.0000 3.8452 0.0000
0.0000 0.0000 4.3546
Tl Se N O
1 1 1 2
Cartesian
0.0000 0.0000 0.0000
1.9226 1.9226 2.1773
1.9226 1.9226 0.0000
0.0000 1.9226 2.1773
1.9226 0.0000 2.1773
```



(4)
Compound: TlSeN2O
Source: Alexandria via LeMat-Bulk
Functional: GGA-PBE
Structure: relaxed

Its uncorrected energy is -4.375 eV/atom. The density of states at the Fermi level is 0.211 states/eV/atom. As for the uncorrected formation energy: 5.585 eV/f.u. The density comes out at 8.813 Mg/m³.

POSCAR file:
```
TlSeN2O
1.0
4.0038 0.0000 0.0000
0.0000 4.0038 0.0000
0.0000 0.0000 3.8475
Tl Se N O
1 1 2 1
Cartesian
0.0000 0.0000 0.0000
2.0019 2.0019 1.9238
0.0000 2.0019 1.9238
2.0019 0.0000 1.9238
2.0019 2.0019 0.0000
```



(5)
Compound: TlSeN2O
Source: Alexandria via LeMat-Bulk
Functional: GGA-PBE
Structure: relaxed

Its uncorrected energy is -3.136 eV/atom. The density of states at the Fermi level is 0.791 states/eV/atom. As for the uncorrected formation energy: 11.778 eV/f.u. The density comes out at 5.057 Mg/m³.

POSCAR file:
```
TlSeN2O
1.0
4.2657 0.0000 0.0000
0.0000 4.2657 0.0000
0.0000 0.0000 5.9081
Tl Se N O
1 1 2 1
Cartesian
0.0000 0.0000 0.0000
0.0000 0.0000 2.9540
0.0000 2.1328 0.0000
2.1328 0.0000 0.0000
2.1328 2.1328 2.9540
```



(6)
Compound: TlSe2NO
Source: Alexandria via LeMat-Bulk
Functional: GGA-PBE
Structure: relaxed

Its uncorrected energy is -2.527 eV/atom. The density of states at the Fermi level is 2.193 states/eV/atom. As for the uncorrected formation energy: 9.986 eV/f.u. The density comes out at 5.151 Mg/m³. The calculation puts the energy above the most stable polymorph in this dataset at 794 meV/atom.

POSCAR file:
```
TlSe2NO
1.0
5.5152 0.0000 0.0000
0.0000 5.5152 0.0000
0.0000 0.0000 4.1580
Tl Se N O
1 2 1 1
Cartesian
0.0000 0.0000 0.0000
0.0000 2.7576 0.0000
2.7576 0.0000 0.0000
0.0000 0.0000 2.0790
2.7576 2.7576 2.0790
```



Q: Which value of uncorrected energy does entry 4 give?
A: -4.375 eV/atom



Q: Among the records above, which one has the highest uncorrected energy?
A: TlSe2NO